1.
Compound: Rb2Er2CrS6
Source: Alexandria via LeMat-Bulk
Functional: GGA-PBE
Structure: optimized geometry

Unit cell a=6.5607 b=6.5607 c=8.2135 alpha=98.20 beta=98.20 gamma=119.16
Each line ends with the local moment (μB).
Fractional coordinates of all 11 atoms:
Rb 0.8274 0.1726 0.0000  0.00
Rb 0.1726 0.8274 0.0000  0.00
Er 0.3327 0.6673 0.5000  0.01
Er 0.6673 0.3327 0.5000  0.01
Cr 0.0000 0.0000 0.5000  2.45
S 0.7616 0.7616 0.6792  -0.07
S 0.0654 0.3679 0.6816  -0.07
S 0.2384 0.2384 0.3208  -0.07
S 0.3679 0.0654 0.6816  -0.07
S 0.9346 0.6321 0.3184  -0.07
S 0.6321 0.9346 0.3184  -0.07

Results
As for the raw formation energy: -1.421 eV/atom. The density of states at the Fermi level comes out at 0.68 states/eV/atom. The calculation puts the calculated density at 4.20 g/cm3. The calculation puts the total moment at 2.06 Bohr magnetons per cell. The value obtained for the total energy is -5.553 eV/atom. As for the calculated volume: 26.9 Å³ per atom.

2.
Compound: Rb3Er2CrS6
Source: Alexandria via LeMat-Bulk
Functional: GGA-PBE
Structure: optimized geometry

Unit cell a=6.7985 b=6.7985 c=7.9596 alpha=98.22 beta=98.22 gamma=120.01
Each line ends with the local moment (μB).
Fractional coordinates of all 12 atoms:
Rb 0.1705 0.8295 0.5000  0.00
Rb 0.8295 0.1705 0.5000  0.00
Rb 0.5000 0.5000 0.5000  0.00
Er 0.3337 0.6663 0.0000  0.02
Er 0.6663 0.3337 0.0000  0.02
Cr 0.0000 0.0000 0.0000  2.94
S 0.9389 0.6291 0.8170  -0.03
S 0.7520 0.7520 0.1846  -0.03
S 0.0611 0.3709 0.1830  -0.03
S 0.6291 0.9389 0.8170  -0.03
S 0.2480 0.2480 0.8154  -0.03
S 0.3709 0.0611 0.1830  -0.03

Results
As for the raw formation energy: -1.488 eV/atom. The calculation puts the calculated density at 4.54 g/cm3. The calculation puts the total moment at 3.00 Bohr magnetons per cell. The value obtained for the total energy is -5.357 eV/atom. As for the calculated volume: 25.4 Å³ per atom.

3.
Compound: Rb4Er3CrSe8
Source: Alexandria via LeMat-Bulk
Functional: GGA-PBE
Structure: optimized geometry

Unit cell a=8.2635 b=9.2869 c=8.2652 alpha=116.47 beta=119.99 gamma=90.00
Each line ends with the local moment (μB).
Fractional coordinates of all 16 atoms:
Rb 0.5000 0.0000 0.0000  -0.01
Rb 0.5000 0.0000 0.5000  0.00
Rb 0.0000 0.0000 0.0000  0.00
Rb 0.0000 0.0000 0.5000  0.00
Er 0.5000 0.5000 0.0000  0.01
Er 0.5000 0.5000 0.5000  0.01
Er 0.0000 0.5000 0.5000  0.01
Cr 0.0000 0.5000 0.0000  3.07
Se 0.2189 0.6860 0.9674  -0.04
Se 0.2190 0.6861 0.4381  -0.04
Se 0.2677 0.3034 0.5354  0.00
Se 0.7485 0.6860 0.9674  -0.04
Se 0.2515 0.3140 0.0326  -0.04
Se 0.7323 0.6966 0.4646  0.00
Se 0.7810 0.3139 0.5619  -0.04
Se 0.7811 0.3140 0.0326  -0.04

Results
As for the raw formation energy: -1.459 eV/atom. The calculation puts the calculated density at 5.38 g/cm3. The calculation puts the total moment at 3.00 Bohr magnetons per cell. The value obtained for the total energy is -4.900 eV/atom. As for the calculated volume: 29.4 Å³ per atom.

4.
Compound: Rb3Er3CrTe8
Source: Alexandria via LeMat-Bulk
Functional: GGA-PBE
Structure: optimized geometry

Unit cell a=8.5985 b=8.6015 c=10.1947 alpha=114.97 beta=90.00 gamma=119.99
Each line ends with the local moment (μB).
Fractional coordinates of all 15 atoms:
Rb 0.0000 0.0000 0.0000  0.00
Rb 0.0000 0.5000 0.0000  0.00
Rb 0.5000 0.5000 0.0000  0.00
Er 0.5000 0.0000 0.5000  0.01
Er 0.5000 0.5000 0.5000  0.01
Er 0.0000 0.5000 0.5000  0.01
Cr 0.0000 0.0000 0.5000  3.04
Te 0.2665 0.5330 0.2996  -0.01
Te 0.7335 0.4670 0.7004  -0.01
Te 0.7833 0.5667 0.3140  -0.06
Te 0.2167 0.4333 0.6860  -0.06
Te 0.7833 0.0305 0.3140  -0.06
Te 0.2167 0.9695 0.6860  -0.06
Te 0.2472 0.0305 0.3140  -0.06
Te 0.7528 0.9695 0.6860  -0.06

Results
As for the raw formation energy: -1.073 eV/atom. The density of states at the Fermi level comes out at 0.28 states/eV/atom. The calculation puts the calculated density at 5.33 g/cm3. The calculation puts the total moment at 2.74 Bohr magnetons per cell. The value obtained for the total energy is -4.496 eV/atom. As for the calculated volume: 38.0 Å³ per atom.

Q: calculated volume of number 1 (Rb2Er2CrS6)?
A: 26.9 Å³ per atom

Q: Look up the calculated density of the fourth one.
A: 5.33 g/cm3